1) LiIrPb3 | PBE-GGA | relaxed

Summary:
Symmetry   Pm-3m

POSCAR file:
```
LiIrPb3
1.0
-4.563 0.452 1.830
-1.797 -2.492 -3.865
0.570 -4.239 2.467
Li Pb Ir
1 3 1
direct
0.000 0.000 0.000
0.000 0.000 0.500
0.500 0.000 0.000
0.000 0.500 0.000
0.500 0.500 0.500
```


2) LiIrPb3 | PBE-GGA | relaxed

Summary:
Symmetry   Pm-3m

POSCAR file:
```
LiIrPb3
1.0
-1.822 3.669 3.479
-4.954 -2.036 -0.447
1.013 -3.359 4.072
Ir Pb Li
1 3 1
direct
0.000 0.000 0.000
0.000 0.500 0.000
0.000 0.000 0.500
0.500 0.000 0.000
0.500 0.500 0.500
```


Bottom line: 2), by a margin of 447 meV/atom.